Entry 1:
! PBE Li2Sm2Cu15, optimized geometry; values from VASP
&SYSTEM
  ibrav = 0, nat = 19, ntyp = 3
/
ATOMIC_SPECIES
Li 6.94 Li.upf
Sm 150.36 Sm.upf
Cu 63.55 Cu.upf
ATOMIC_POSITIONS angstrom
Li 0.000 0.000 1.181
Li 0.000 0.000 11.484
Sm 0.000 0.000 4.373
Sm 0.000 0.000 8.292
Cu -4.308 0.000 6.333
Cu -1.296 -2.729 4.222
Cu -2.154 1.243 2.111
Cu -3.011 0.242 4.222
Cu -2.147 -1.239 6.210
Cu 1.296 -2.729 4.222
Cu -1.715 2.487 4.222
Cu 0.000 -2.479 6.455
Cu -2.147 1.239 6.455
Cu 2.154 1.243 2.111
Cu 2.147 -1.239 6.210
Cu 0.000 2.479 6.210
Cu 3.011 0.242 4.222
Cu 1.715 2.487 4.222
Cu 2.147 1.239 6.455
CELL_PARAMETERS angstrom
4.308 2.487 4.222
-4.308 2.487 4.222
0.000 -4.974 4.222
! M_tot (μB/f.u.): 0.000
! Calculated formation energy (meV per atom): -134

***

Entry 2:
! PBE Co2Hg, optimized geometry; values from VASP
&SYSTEM
  ibrav = 0, nat = 12, ntyp = 2
/
ATOMIC_SPECIES
Co 58.93 Co.upf
Hg 200.59 Hg.upf
ATOMIC_POSITIONS angstrom
Co 0.621 0.621 0.621
Co 0.621 2.404 3.646
Co 2.404 3.646 0.621
Co 2.404 5.429 3.646
Co 3.646 0.621 2.404
Co 3.646 2.404 5.429
Co 5.429 3.646 2.404
Co 5.429 5.429 5.429
Hg 0.000 0.000 3.025
Hg 0.000 3.025 0.000
Hg 3.025 0.000 0.000
Hg 3.025 3.025 3.025
CELL_PARAMETERS angstrom
6.050 0.000 0.000
0.000 6.050 0.000
0.000 0.000 6.050
! M_tot (μB/f.u.): 3.632
! Calculated formation energy (meV per atom): 1101

***

> The highest calculated formation energy belongs to which entry?

Co2Hg

***

> M_tot of number 2 (Co2Hg)?

3.632 μB/f.u.

***

> Which formula does entry 2 have?

Co2Hg

***

> Among the records above, which one has the lowest M_tot?

Li2Sm2Cu15